# 1
The following is a PBE calculation of an optimized crystal structure of In3P, from Alexandria.

a = 7.947 Å, b = 14.454 Å, c = 3.714 Å
α = 90.00°, β = 90.00°, γ = 90.00°
Space group Cmcm (No. 63)
Inequivalent atoms, fractional coordinates:
In1 0.000 0.179 0.250
In2 0.215 0.408 0.250
P1 0.000 0.320 0.750

Its total magnetization is 0.000 μB per atom. For the energy, the calculation gives -53.07 eV for the cell shown. As for the density of states at the Fermi level: 6.2 states/eV/cell. For the formation energy, the calculation gives 0.0896 eV/atom.

***

# 2
The following is a PBE calculation of an optimized crystal structure of InP3, from Alexandria.

a = 3.2816 Å, b = 3.2816 Å, c = 24.6221 Å
α = 90.00°, β = 90.00°, γ = 120.00°
Space group R-3m (No. 166, hexagonal axes)
Inequivalent atoms, fractional coordinates:
In1 0.0000 0.0000 0.0000
P1 0.0000 0.0000 0.2245
P2 0.0000 0.0000 0.5000

Its total magnetization is 0.000 μB per atom. For the energy, the calculation gives -53.80 eV for the cell shown. As for the density of states at the Fermi level: 7.4 states/eV/cell. For the formation energy, the calculation gives 0.2583 eV/atom.

***

# 3
The following is a PBE calculation of an optimized crystal structure of InP5, from Alexandria.

a = 3.301 Å, b = 3.301 Å, c = 10.044 Å
α = 90.00°, β = 90.00°, γ = 90.00°
Space group P4/mmm (No. 123)
Inequivalent atoms, fractional coordinates:
In1 0.000 0.000 0.000
P1 0.000 0.000 0.303
P2 0.500 0.500 0.256
P3 0.500 0.500 0.500

Its total magnetization is 0.000 μB per atom. The value obtained for the polymorph energy (0 for the lowest one) is 0.254 eV/atom. For the energy, the calculation gives -26.93 eV for the cell shown. As for the density of states at the Fermi level: 2.1 states/eV/cell. For the formation energy, the calculation gives 0.4755 eV/atom.

***

The highest formation energy belongs to which entry?
InP5